## Pm12Cd6Co (PBE)

Data for a relaxed Pm12Cd6Co crystal.

Geometry as CIF:
```
data_Pm12Cd6Co
_chemical_formula_sum 'Pm12 Cd6 Co1'
_cell_length_a 8.4158
_cell_length_b 8.4158
_cell_length_c 8.4158
_cell_angle_alpha 94.83
_cell_angle_beta 94.83
_cell_angle_gamma 94.83
_symmetry_space_group_name_H-M 'P 1'
_symmetry_Int_Tables_number 1
loop_
_symmetry_equiv_pos_as_xyz
'x,y,z'
loop_
_atom_site_label
_atom_site_fract_x
_atom_site_fract_y
_atom_site_fract_z
Co1 0.0000 0.0000 0.0000
Cd1 0.1432 0.7397 0.3447
Cd2 0.3447 0.1432 0.7397
Cd3 0.8568 0.2603 0.6553
Cd4 0.6553 0.8568 0.2603
Cd5 0.7397 0.3447 0.1432
Cd6 0.2603 0.6553 0.8568
Pm1 0.4263 0.5377 0.2006
Pm2 0.5377 0.2006 0.4263
Pm3 0.4623 0.7994 0.5737
Pm4 0.5737 0.4623 0.7994
Pm5 0.3113 0.9784 0.0877
Pm6 0.0216 0.9123 0.6887
Pm7 0.9784 0.0877 0.3113
Pm8 0.6887 0.0216 0.9123
Pm9 0.0877 0.3113 0.9784
Pm10 0.2006 0.4263 0.5377
Pm11 0.9123 0.6887 0.0216
Pm12 0.7994 0.5737 0.4623
```

Energy relative to the elements = -0.088 eV/atom
Crystal system = trigonal


## CaCe2Nd2Rh5 (PBE)

Data for a relaxed CaCe2Nd2Rh5 crystal.

Geometry as CIF:
```
data_CaCe2Nd2Rh5
_chemical_formula_sum 'Ca2 Ce4 Nd4 Rh10'
_cell_length_a 3.5937
_cell_length_b 11.0378
_cell_length_c 11.0378
_cell_angle_alpha 90.00
_cell_angle_beta 90.00
_cell_angle_gamma 90.00
_symmetry_space_group_name_H-M 'P 1'
_symmetry_Int_Tables_number 1
loop_
_symmetry_equiv_pos_as_xyz
'x,y,z'
loop_
_atom_site_label
_atom_site_fract_x
_atom_site_fract_y
_atom_site_fract_z
Ce1 0.0000 0.1406 0.6406
Ce2 0.0000 0.3594 0.1406
Ce3 0.0000 0.8594 0.3594
Ce4 0.0000 0.6406 0.8594
Rh1 0.5000 0.5481 0.7086
Rh2 0.5000 0.5000 0.0000
Rh3 0.5000 0.7086 0.4519
Rh4 0.5000 0.2914 0.5481
Rh5 0.5000 0.7914 0.9519
Rh6 0.5000 0.4519 0.2914
Rh7 0.5000 0.0481 0.7914
Rh8 0.5000 0.0000 0.5000
Rh9 0.5000 0.2086 0.0481
Rh10 0.5000 0.9519 0.2086
Ca1 0.0000 0.5000 0.5000
Ca2 0.0000 0.0000 0.0000
Nd1 0.0000 0.8311 0.6689
Nd2 0.0000 0.1689 0.3311
Nd3 0.0000 0.6689 0.1689
Nd4 0.0000 0.3311 0.8311
```

Energy relative to the elements = -0.477 eV/atom
Crystal system = tetragonal


## ZnIr5W4 (PBE)

Data for a relaxed ZnIr5W4 crystal.

Geometry as CIF:
```
data_ZnIr5W4
_chemical_formula_sum 'Zn1 Ir5 W4'
_cell_length_a 2.8028
_cell_length_b 2.8028
_cell_length_c 19.1301
_cell_angle_alpha 90.00
_cell_angle_beta 90.00
_cell_angle_gamma 90.00
_symmetry_space_group_name_H-M 'P 1'
_symmetry_Int_Tables_number 1
loop_
_symmetry_equiv_pos_as_xyz
'x,y,z'
loop_
_atom_site_label
_atom_site_fract_x
_atom_site_fract_y
_atom_site_fract_z
Ir1 0.5000 0.5000 0.9031
Ir2 0.5000 0.5000 0.2962
Ir3 0.5000 0.5000 0.5000
Ir4 0.5000 0.5000 0.7038
Ir5 0.5000 0.5000 0.0969
W1 0.0000 0.0000 0.8075
W2 0.0000 0.0000 0.1925
W3 0.0000 0.0000 0.3974
W4 0.0000 0.0000 0.6026
Zn1 0.0000 0.0000 0.0000
```

Energy relative to the elements = -0.291 eV/atom
Crystal system = tetragonal


## Ba5LiCu4 (PBE)

Data for a relaxed Ba5LiCu4 crystal.

Geometry as CIF:
```
data_Ba5LiCu4
_chemical_formula_sum 'Ba5 Li1 Cu4'
_cell_length_a 4.4237
_cell_length_b 8.3558
_cell_length_c 10.7195
_cell_angle_alpha 110.60
_cell_angle_beta 101.91
_cell_angle_gamma 90.00
_symmetry_space_group_name_H-M 'P 1'
_symmetry_Int_Tables_number 1
loop_
_symmetry_equiv_pos_as_xyz
'x,y,z'
loop_
_atom_site_label
_atom_site_fract_x
_atom_site_fract_y
_atom_site_fract_z
Ba1 0.5000 0.5000 0.0000
Ba2 0.8658 0.7536 0.7315
Ba3 0.1880 0.7878 0.3759
Ba4 0.8120 0.2122 0.6241
Ba5 0.1342 0.2464 0.2685
Cu1 0.0405 0.8525 0.0809
Cu2 0.3930 0.0735 0.7860
Cu3 0.6070 0.9265 0.2140
Cu4 0.9595 0.1475 0.9191
Li1 0.5000 0.0000 0.0000
```

Energy relative to the elements = 0.009 eV/atom
Crystal system = monoclinic